Here is a relaxed HfBiNF2 crystal from Alexandria via LeMat-Bulk. Energies are from PBE.

Cell: 4.370 4.370 5.013 Å, 90.00 90.00 90.00°
Each line ends with the local moment (μB).
Element x y z (fractional)
F (0.500, 0.000, 0.000)  0.03
Hf (0.500, 0.500, 0.500)  1.02
Bi (0.000, 0.000, 0.000)  0.02
N (0.000, 0.000, 0.500)  -0.05
F (0.000, 0.500, 0.000)  0.03

Values from the calculation:
The value obtained for the energy relative to the elements, uncorrected is -8 kJ/mol of atoms. The value obtained for the total energy is -26.30 eV for the cell shown. As for the symmetry: P4/mmm, No. 123. For the density of states at the Fermi level, the calculation gives 3.266 states/eV per cell. For the offset from the most stable computed form, the calculation gives 7.327 eV per formula unit.

=====

Here is a relaxed HfBiNF2 crystal from Alexandria via LeMat-Bulk. Energies are from PBE.

Cell: 4.262 4.262 4.299 Å, 90.00 90.00 90.00°
Element x y z (fractional)
N (0.000, 0.000, 0.500)
Hf (0.000, 0.000, 0.000)
F (0.000, 0.500, 0.000)
F (0.500, 0.000, 0.000)
Bi (0.500, 0.500, 0.500)

Values from the calculation:
The value obtained for the energy relative to the elements, uncorrected is -149 kJ/mol of atoms. The value obtained for the total energy is -33.63 eV for the cell shown. As for the symmetry: P4/mmm, No. 123. For the density of states at the Fermi level, the calculation gives 2.785 states/eV per cell. For the offset from the most stable computed form, the calculation gives 0.000 eV per formula unit.

=====

Here is a relaxed Hf2TaBiF crystal from Alexandria via LeMat-Bulk. Energies are from PBE.

Cell: 4.673 4.347 4.673 Å, 90.00 90.00 90.00°
Element x y z (fractional)
Ta (0.000, 0.500, 0.000)
Hf (0.000, 0.000, 0.500)
Hf (0.500, 0.000, 0.000)
Bi (0.500, 0.500, 0.500)
F (0.000, 0.000, 0.000)

Values from the calculation:
The value obtained for the energy relative to the elements, uncorrected is -12 kJ/mol of atoms. The value obtained for the total energy is -38.15 eV for the cell shown. As for the symmetry: P4/mmm, No. 123. For the density of states at the Fermi level, the calculation gives 5.635 states/eV per cell.

=====

The lowest total energy belongs to which entry? Hf2TaBiF

=====

Which value of total energy does entry 1 give? -26.30 eV for the cell shown

=====

Number 1 is which compound? HfBiNF2